[1]
AcGdN PBE-GGA relaxed; energy above the lowest structure with this stoichiometry = 668 meV per atom; space-group type = F-43m; crystal system = cubic; final energy = -8.97 eV per atom; D(E_F) = 6.90 states/eV/cell
1.0
6.427 0.000 0.000
0.000 6.427 0.000
0.000 0.000 6.427
Ac Gd N
4 4 4
Cartesian
0.000 0.000 0.000
0.000 3.214 3.214
3.214 0.000 3.214
3.214 3.214 0.000
0.000 0.000 3.214
0.000 3.214 0.000
3.214 0.000 0.000
3.214 3.214 3.214
1.607 1.607 1.607
1.607 4.820 4.820
4.820 1.607 4.820
4.820 4.820 1.607

***

[2]
AcGdN PBE-GGA relaxed; energy above the lowest structure with this stoichiometry = 0 meV per atom; space-group type = P3m1; crystal system = trigonal; final energy = -9.64 eV per atom; D(E_F) = 3.01 states/eV/cell
1.0
3.692 0.000 0.000
-1.846 3.197 0.000
0.000 0.000 6.661
Ac Gd N
1 1 1
Cartesian
0.000 0.000 0.000
1.846 1.066 2.873
0.000 2.131 1.763

***

[3]
Ac2GdN PBE-GGA relaxed; space-group type = R-3m; crystal system = trigonal; final energy = -7.99 eV per atom; D(E_F) = 18.88 states/eV/cell
1.0
3.760 0.000 0.000
-1.880 3.257 0.000
0.000 0.000 31.021
Ac Gd N
6 3 3
Cartesian
0.000 0.000 3.650
0.000 0.000 27.371
0.000 2.171 17.030
0.000 2.171 24.331
1.880 1.086 6.690
1.880 1.086 13.990
0.000 0.000 0.000
0.000 2.171 20.681
1.880 1.086 10.340
0.000 0.000 15.510
0.000 2.171 5.170
1.880 1.086 25.851

***

[4]
AcGdN2 PBE-GGA relaxed; space-group type = R-3m; crystal system = trigonal; final energy = -9.96 eV per atom; D(E_F) = 1.06 states/eV/cell
1.0
3.711 0.000 0.000
-1.855 3.214 0.000
0.000 0.000 18.366
Ac Gd N
3 3 6
Cartesian
0.000 0.000 0.000
0.000 2.142 12.244
1.855 1.071 6.122
0.000 0.000 9.183
0.000 2.142 3.061
1.855 1.071 15.305
0.000 0.000 4.465
0.000 0.000 13.901
0.000 2.142 7.779
0.000 2.142 16.709
1.855 1.071 1.657
1.855 1.071 10.587

***

[5]
NaAc2Gd PBE-GGA relaxed; ΔH_f (0 K) = 0.59 eV/f.u.; energy above the lowest structure with this stoichiometry = 47 meV per atom; space-group type = R-3m; crystal system = trigonal; final energy = -5.76 eV per atom; D(E_F) = 14.65 states/eV/cell
1.0
3.810 0.000 0.000
-1.905 3.299 0.000
0.000 0.000 40.264
Na Ac Gd
3 6 3
Cartesian
0.000 0.000 0.000
0.000 2.199 26.843
1.905 1.100 13.421
0.000 0.000 3.708
0.000 0.000 36.557
0.000 2.199 23.135
0.000 2.199 30.550
1.905 1.100 9.714
1.905 1.100 17.129
0.000 0.000 20.132
0.000 2.199 6.711
1.905 1.100 33.554

***

[6]
NaAc2Gd PBE-GGA relaxed; ΔH_f (0 K) = 0.80 eV/f.u.; energy above the lowest structure with this stoichiometry = 100 meV per atom; space-group type = Fm-3m; crystal system = cubic; final energy = -5.70 eV per atom; D(E_F) = 24.71 states/eV/cell
1.0
8.568 0.000 0.000
0.000 8.568 0.000
0.000 0.000 8.568
Na Ac Gd
4 8 4
Cartesian
0.000 0.000 0.000
0.000 4.284 4.284
4.284 0.000 4.284
4.284 4.284 0.000
2.142 2.142 2.142
2.142 2.142 6.426
2.142 6.426 2.142
2.142 6.426 6.426
6.426 2.142 2.142
6.426 2.142 6.426
6.426 6.426 2.142
6.426 6.426 6.426
0.000 0.000 4.284
0.000 4.284 0.000
4.284 0.000 0.000
4.284 4.284 4.284

***

[7]
NaAc2Gd PBE-GGA relaxed; ΔH_f (0 K) = 0.40 eV/f.u.; energy above the lowest structure with this stoichiometry = 0 meV per atom; space-group type = P4/mmm; crystal system = tetragonal; final energy = -5.80 eV per atom; D(E_F) = 4.88 states/eV/cell
1.0
3.824 0.000 0.000
0.000 3.824 0.000
0.000 0.000 11.068
Na Ac Gd
1 2 1
Cartesian
0.000 0.000 0.000
1.912 1.912 2.928
1.912 1.912 8.140
0.000 0.000 5.534

***

[8]
NaAcGd PBE-GGA relaxed; ΔH_f (0 K) = 0.43 eV/f.u.; energy above the lowest structure with this stoichiometry = 16 meV per atom; space-group type = I4mm; crystal system = tetragonal; final energy = -6.36 eV per atom; D(E_F) = 8.52 states/eV/cell
1.0
3.767 0.000 0.000
0.000 3.767 0.000
0.000 0.000 16.351
Na Ac Gd
2 2 2
Cartesian
0.000 0.000 0.000
1.884 1.884 8.175
0.000 0.000 11.122
1.884 1.884 2.947
0.000 0.000 5.498
1.884 1.884 13.673

***

[9]
NaAcGd PBE-GGA relaxed; ΔH_f (0 K) = 0.39 eV/f.u.; energy above the lowest structure with this stoichiometry = 0 meV per atom; space-group type = P3m1; crystal system = trigonal; final energy = -6.37 eV per atom; D(E_F) = 4.32 states/eV/cell
1.0
3.786 0.000 0.000
-1.893 3.279 0.000
0.000 0.000 9.413
Na Ac Gd
1 1 1
Cartesian
0.000 0.000 0.000
1.893 1.093 3.350
0.000 2.186 6.290

***

[10]
NaAc2Gd PBE-GGA relaxed; ΔH_f (0 K) = 0.58 eV/f.u.; energy above the lowest structure with this stoichiometry = 46 meV per atom; space-group type = P4/mmm; crystal system = tetragonal; final energy = -5.76 eV per atom; D(E_F) = 5.34 states/eV/cell
1.0
6.240 0.000 0.000
0.000 6.240 0.000
0.000 0.000 4.025
Na Ac Gd
1 2 1
Cartesian
0.000 0.000 0.000
0.000 3.120 2.013
3.120 0.000 2.013
3.120 3.120 0.000

***

[11]
NaAcGdSn PBE-GGA relaxed; ΔH_f (0 K) = -1.05 eV/f.u.; space-group type = F-43m; crystal system = cubic; final energy = -6.14 eV per atom; D(E_F) = 26.44 states/eV/cell
1.0
7.974 0.000 0.000
0.000 7.974 0.000
0.000 0.000 7.974
Na Ac Gd Sn
4 4 4 4
Cartesian
0.000 0.000 0.000
0.000 3.987 3.987
3.987 0.000 3.987
3.987 3.987 0.000
1.994 1.994 5.981
1.994 5.981 1.994
5.981 1.994 1.994
5.981 5.981 5.981
1.994 1.994 1.994
1.994 5.981 5.981
5.981 1.994 5.981
5.981 5.981 1.994
0.000 0.000 3.987
0.000 3.987 0.000
3.987 0.000 0.000
3.987 3.987 3.987

***

[12]
NaAcGdTl PBE-GGA relaxed; ΔH_f (0 K) = -0.30 eV/f.u.; space-group type = F-43m; crystal system = cubic; final energy = -5.54 eV per atom; D(E_F) = 19.88 states/eV/cell
1.0
8.050 0.000 0.000
0.000 8.050 0.000
0.000 0.000 8.050
Na Ac Gd Tl
4 4 4 4
Cartesian
0.000 0.000 0.000
0.000 4.025 4.025
4.025 0.000 4.025
4.025 4.025 0.000
2.012 2.012 6.037
2.012 6.037 2.012
6.037 2.012 2.012
6.037 6.037 6.037
2.012 2.012 2.012
2.012 6.037 6.037
6.037 2.012 6.037
6.037 6.037 2.012
0.000 0.000 4.025
0.000 4.025 0.000
4.025 0.000 0.000
4.025 4.025 4.025

***

Q: Which of these has the highest D(E_F)?
A: NaAcGdSn

***

Q: Number 10 is which compound?
A: NaAc2Gd